PaNi10B3 | PBE-GGA | optimized geometry Values from VASP.

Its energy of formation from the pure elements is -333.8 meV per atom.

The structure in Quantum ESPRESSO input format:
```
&SYSTEM
  ibrav = 0, nat = 28, ntyp = 3
/
ATOMIC_SPECIES
Pa 231.04 Pa.upf
Ni 58.69 Ni.upf
B 10.81 B.upf
CELL_PARAMETERS angstrom
0.0000 5.3395 5.3395
5.3395 0.0000 5.3395
5.3395 5.3395 0.0000
ATOMIC_POSITIONS angstrom
Pa 2.6697 2.6697 2.6697
Pa 8.0092 8.0092 8.0092
Ni 1.8048 1.8048 0.0000
Ni 3.5347 3.5347 0.0000
Ni 1.8048 0.0000 1.8048
Ni 5.3395 3.5347 1.8048
Ni 3.5347 0.0000 3.5347
Ni 5.3395 1.8048 3.5347
Ni 6.5507 4.1282 4.1282
Ni 0.0000 1.8048 1.8048
Ni 3.5347 5.3395 1.8048
Ni 3.5347 1.8048 5.3395
Ni 4.1282 4.1282 4.1282
Ni 6.5507 6.5507 4.1282
Ni 6.5507 4.1282 6.5507
Ni 4.1282 6.5507 4.1282
Ni 4.1282 4.1282 6.5507
Ni 6.5507 6.5507 6.5507
Ni 0.0000 3.5347 3.5347
Ni 1.8048 5.3395 3.5347
Ni 1.8048 3.5347 5.3395
Ni 4.1282 6.5507 6.5507
B 5.3395 5.3395 2.8436
B 5.3395 2.8436 5.3395
B 7.8353 5.3395 5.3395
B 2.8436 5.3395 5.3395
B 5.3395 7.8353 5.3395
B 5.3395 5.3395 7.8353
```

PaNi4B | PBE-GGA | optimized geometry Values from VASP.

Its energy of formation from the pure elements is -163.1 meV per atom.

The structure in Quantum ESPRESSO input format:
```
&SYSTEM
  ibrav = 0, nat = 6, ntyp = 3
/
ATOMIC_SPECIES
Pa 231.04 Pa.upf
Ni 58.69 Ni.upf
B 10.81 B.upf
CELL_PARAMETERS angstrom
3.7465 0.0000 0.0000
0.0000 3.7465 0.0000
0.0000 0.0000 6.0312
ATOMIC_POSITIONS angstrom
Pa 0.0000 0.0000 0.0000
Ni 0.0000 1.8733 3.0156
Ni 1.8733 0.0000 3.0156
Ni 1.8733 1.8733 1.1421
Ni 1.8733 1.8733 4.8891
B 1.8733 1.8733 3.0156
```

PaNi2B | PBE-GGA | optimized geometry Values from VASP.

Its energy of formation from the pure elements is -357.2 meV per atom. The value obtained for the energy above the most stable polymorph in this dataset is 0 meV/atom.

The structure in Quantum ESPRESSO input format:
```
&SYSTEM
  ibrav = 0, nat = 8, ntyp = 3
/
ATOMIC_SPECIES
Pa 231.04 Pa.upf
Ni 58.69 Ni.upf
B 10.81 B.upf
CELL_PARAMETERS angstrom
3.7163 0.0000 0.0000
0.0000 6.1923 0.0000
-1.8549 0.0000 4.6346
ATOMIC_POSITIONS angstrom
Pa 0.0029 1.5481 0.6063
Pa 1.8585 4.6442 4.0283
Ni 0.0011 0.3219 3.1839
Ni 0.0011 2.7742 3.1839
Ni 1.8603 3.4181 1.4507
Ni 1.8603 5.8703 1.4507
B 0.0022 4.6442 2.0535
B 1.8592 1.5481 2.5811
```

Pa2NiB10 | PBE-GGA | optimized geometry Values from VASP.

Its energy of formation from the pure elements is -544.9 meV per atom.

The structure in Quantum ESPRESSO input format:
```
&SYSTEM
  ibrav = 0, nat = 26, ntyp = 3
/
ATOMIC_SPECIES
Pa 231.04 Pa.upf
Ni 58.69 Ni.upf
B 10.81 B.upf
CELL_PARAMETERS angstrom
5.5516 0.0000 0.0000
0.0000 11.0081 0.0000
0.0000 0.0000 4.1180
ATOMIC_POSITIONS angstrom
Pa 1.0379 1.5286 0.0000
Pa 1.7379 7.0327 0.0000
Pa 3.8137 3.9754 0.0000
Pa 4.5136 9.4795 0.0000
Ni 0.0000 5.5041 2.0590
Ni 2.7758 0.0000 2.0590
B 0.1657 3.4386 2.0590
B 0.6961 10.5771 2.0590
B 0.8656 8.8292 2.0590
B 1.1087 4.2515 0.8129
B 1.1087 4.2515 3.3052
B 1.6671 9.7556 0.8129
B 1.6671 9.7556 3.3052
B 1.9102 3.3251 2.0590
B 2.0797 5.0730 2.0590
B 2.6101 8.9427 2.0590
B 2.9415 2.0654 2.0590
B 3.4719 5.9351 2.0590
B 3.6414 7.6830 2.0590
B 3.8845 1.2525 0.8129
B 3.8845 1.2525 3.3052
B 4.4429 6.7566 0.8129
B 4.4429 6.7566 3.3052
B 4.6860 2.1789 2.0590
B 4.8554 0.4310 2.0590
B 5.3858 7.5695 2.0590
```

PaNi10B2 | PBE-GGA | optimized geometry Values from VASP.

Its energy of formation from the pure elements is -209.8 meV per atom.

The structure in Quantum ESPRESSO input format:
```
&SYSTEM
  ibrav = 0, nat = 13, ntyp = 3
/
ATOMIC_SPECIES
Pa 231.04 Pa.upf
Ni 58.69 Ni.upf
B 10.81 B.upf
CELL_PARAMETERS angstrom
0.0000 5.4752 5.6890
2.3115 0.0000 5.6890
2.3115 5.4752 0.0000
ATOMIC_POSITIONS angstrom
Pa 0.0000 0.0000 0.0000
Ni 1.1557 2.7376 0.0000
Ni 2.3115 3.6918 2.0200
Ni 2.3115 4.3073 4.2873
Ni 2.3115 7.2586 2.0200
Ni 2.3115 6.6431 4.2873
Ni 1.1557 2.7376 5.6890
Ni 2.3115 4.3073 7.0907
Ni 2.3115 3.6918 9.3579
Ni 2.3115 6.6431 7.0907
Ni 2.3115 7.2586 9.3579
B 1.1557 0.0000 2.8445
B 1.1557 5.4752 2.8445
```

Pa3Ni7B2 | PBE-GGA | optimized geometry Values from VASP.

Its energy of formation from the pure elements is -406.1 meV per atom.

The structure in Quantum ESPRESSO input format:
```
&SYSTEM
  ibrav = 0, nat = 12, ntyp = 3
/
ATOMIC_SPECIES
Pa 231.04 Pa.upf
Ni 58.69 Ni.upf
B 10.81 B.upf
CELL_PARAMETERS angstrom
2.5534 1.4742 7.0731
-2.5534 1.4742 7.0731
0.0000 -2.9484 7.0731
ATOMIC_POSITIONS angstrom
Pa 0.0000 0.0000 0.0000
Pa 0.0000 0.0000 3.0601
Pa 0.0000 0.0000 18.1591
Ni -1.2756 -0.7365 8.5067
Ni 0.0000 -1.4730 12.7125
Ni -1.2756 0.7365 12.7125
Ni 0.0000 0.0000 10.6096
Ni 1.2756 -0.7365 8.5068
Ni 0.0000 1.4730 8.5068
Ni 1.2756 0.7365 12.7125
B 0.0000 0.0000 7.0431
B 0.0000 0.0000 14.1761
```

PaNi2B2 | PBE-GGA | optimized geometry Values from VASP.

Its energy of formation from the pure elements is -402.6 meV per atom.

The structure in Quantum ESPRESSO input format:
```
&SYSTEM
  ibrav = 0, nat = 10, ntyp = 3
/
ATOMIC_SPECIES
Pa 231.04 Pa.upf
Ni 58.69 Ni.upf
B 10.81 B.upf
CELL_PARAMETERS angstrom
-1.6936 1.9329 8.9618
1.6936 -1.9329 8.9618
1.6936 1.9329 -8.9618
ATOMIC_POSITIONS angstrom
Pa 0.0000 0.9665 3.0551
Pa 1.6936 0.9665 5.9067
Ni 1.6936 -0.9665 8.0243
Ni 1.6936 0.9665 0.9373
Ni 0.0000 0.9665 8.0245
Ni 0.0000 2.8994 0.9375
B 1.6936 0.9665 -4.0052
B 1.6936 0.9665 -2.0963
B 0.0000 0.9665 11.0581
B 0.0000 0.9665 12.9670
```

PaNi6B2 | PBE-GGA | optimized geometry Values from VASP.

Its energy of formation from the pure elements is -286.1 meV per atom.

The structure in Quantum ESPRESSO input format:
```
&SYSTEM
  ibrav = 0, nat = 9, ntyp = 3
/
ATOMIC_SPECIES
Pa 231.04 Pa.upf
Ni 58.69 Ni.upf
B 10.81 B.upf
CELL_PARAMETERS angstrom
3.5975 0.0000 0.0000
0.0000 3.5975 0.0000
0.0000 0.0000 7.8707
ATOMIC_POSITIONS angstrom
Pa 0.0000 0.0000 0.0000
Ni 0.0000 0.0000 3.9353
Ni 0.0000 1.7987 2.1623
Ni 0.0000 1.7987 5.7084
Ni 1.7987 0.0000 2.1623
Ni 1.7987 0.0000 5.7084
Ni 1.7987 1.7987 3.9353
B 1.7987 1.7987 1.1080
B 1.7987 1.7987 6.7627
```

The lowest energy of formation from the pure elements belongs to which entry? Pa2NiB10

What is the energy of formation from the pure elements in the sixth record? -406.1 meV per atom

Number 8 is which compound? PaNi6B2